Entry 1:
# Hf2BiP GGA-PBE optimized geometry
# **Fermi-level density of states**: 24.56 states/eV/cell
# **Formation energy**: -0.1960 eV/atom
data_Hf2BiP
_chemical_formula_sum 'Hf8 Bi4 P4'
_space_group_name_H-M_alt 'F m -3 m'
_space_group_IT_number 225
_space_group_name_Hall '-F 4 2 3'
_cell_length_a 6.906
_cell_length_b 6.906
_cell_length_c 6.906
_cell_angle_alpha 90.00
_cell_angle_beta 90.00
_cell_angle_gamma 90.00
loop_
_atom_site_label
_atom_site_type_symbol
_atom_site_fract_x
_atom_site_fract_y
_atom_site_fract_z
Hf1 Hf 0.250 0.250 0.250
Bi1 Bi 0.000 0.000 0.000
P1 P 0.000 0.000 0.500

---

Entry 2:
# TbEr5Se6 GGA-PBE optimized geometry
# **Fermi-level density of states**: 9.54 states/eV/cell
# **Formation energy without anion corrections**: -1.708 eV per atom
data_TbEr5Se6
_chemical_formula_sum 'Tb2 Er10 Se12'
_space_group_name_H-M_alt 'C 1 2/m 1'
_space_group_IT_number 12
_space_group_name_Hall '-C 2y'
_cell_length_a 7.007
_cell_length_b 12.167
_cell_length_c 6.993
_cell_angle_alpha 90.00
_cell_angle_beta 109.59
_cell_angle_gamma 90.00
loop_
_atom_site_label
_atom_site_type_symbol
_atom_site_fract_x
_atom_site_fract_y
_atom_site_fract_z
Tb1 Tb 0.000 0.000 0.000
Er1 Er 0.000 0.163 0.500
Er2 Er 0.000 0.334 0.000
Er3 Er 0.000 0.500 0.500
Se1 Se 0.246 0.500 0.250
Se2 Se 0.247 0.331 0.747

---

Entry 3:
# ZrTc2P GGA-PBE optimized geometry
# **Fermi-level density of states**: 8.61 states/eV/cell
# **Formation energy**: -0.2113 eV/atom
data_ZrTc2P
_chemical_formula_sum 'Zr2 Tc4 P2'
_space_group_name_H-M_alt 'I -4 m 2'
_space_group_IT_number 119
_space_group_name_Hall 'I -4 -2'
_cell_length_a 3.732
_cell_length_b 3.732
_cell_length_c 8.846
_cell_angle_alpha 90.00
_cell_angle_beta 90.00
_cell_angle_gamma 90.00
loop_
_atom_site_label
_atom_site_type_symbol
_atom_site_fract_x
_atom_site_fract_y
_atom_site_fract_z
Zr1 Zr 0.000 0.000 0.000
Tc1 Tc 0.000 0.000 0.500
Tc2 Tc 0.000 0.500 0.250
P1 P 0.000 0.500 0.750

---

Entry 4:
# Pr2PbCl8 GGA-PBE optimized geometry
# **Fermi-level density of states**: 0.00 states/eV/cell
# **Offset from the most stable computed form**: 0.0 kJ/mol of atoms
# **Formation energy without anion corrections**: -1.954 eV per atom
data_Pr2PbCl8
_chemical_formula_sum 'Pr4 Pb2 Cl16'
_space_group_name_H-M_alt 'C 1 2/m 1'
_space_group_IT_number 12
_space_group_name_Hall '-C 2y'
_cell_length_a 21.529
_cell_length_b 4.118
_cell_length_c 7.882
_cell_angle_alpha 90.00
_cell_angle_beta 95.17
_cell_angle_gamma 90.00
loop_
_atom_site_label
_atom_site_type_symbol
_atom_site_fract_x
_atom_site_fract_y
_atom_site_fract_z
Pr1 Pr 0.161 0.000 0.341
Pb1 Pb 0.000 0.500 0.000
Cl1 Cl 0.024 0.000 0.255
Cl2 Cl 0.116 0.500 0.532
Cl3 Cl 0.137 0.500 0.072
Cl4 Cl 0.242 0.000 0.668

---

Entry 5:
# ScTlFe3 GGA-PBE optimized geometry
# **Fermi-level density of states**: 3.02 states/eV/cell
# **Offset from the most stable computed form**: 0.0 kJ/mol of atoms
# **Formation energy**: 1.2867 eV/atom
data_ScTlFe3
_chemical_formula_sum 'Sc1 Tl1 Fe3'
_space_group_name_H-M_alt 'P m -3 m'
_space_group_IT_number 221
_space_group_name_Hall '-P 4 2 3'
_cell_length_a 4.551
_cell_length_b 4.551
_cell_length_c 4.551
_cell_angle_alpha 90.00
_cell_angle_beta 90.00
_cell_angle_gamma 90.00
loop_
_atom_site_label
_atom_site_type_symbol
_atom_site_fract_x
_atom_site_fract_y
_atom_site_fract_z
Sc1 Sc 0.000 0.000 0.000
Tl1 Tl 0.500 0.500 0.500
Fe1 Fe 0.000 0.000 0.500

---

Entry 6:
# Ce2AuN GGA-PBE optimized geometry
# **Fermi-level density of states**: 23.22 states/eV/cell
# **Formation energy without anion corrections**: -0.938 eV per atom
data_Ce2AuN
_chemical_formula_sum 'Ce6 Au3 N3'
_space_group_name_H-M_alt 'R 3 m'
_space_group_IT_number 160
_space_group_name_Hall 'R 3 -2"'
_cell_length_a 3.5771
_cell_length_b 3.5771
_cell_length_c 22.5827
_cell_angle_alpha 90.00
_cell_angle_beta 90.00
_cell_angle_gamma 120.00
loop_
_atom_site_label
_atom_site_type_symbol
_atom_site_fract_x
_atom_site_fract_y
_atom_site_fract_z
Ce1 Ce 0.0000 0.0000 0.0000
Ce2 Ce 0.0000 0.0000 0.2092
Au1 Au 0.0000 0.0000 0.7706
N1 N 0.0000 0.0000 0.6032

---

Entry 7:
# MnSbP GGA-PBE optimized geometry
# **Fermi-level density of states**: 5.03 states/eV/cell
# **Offset from the most stable computed form**: 22.6 kJ/mol of atoms
# **Formation energy without anion corrections**: 0.081 eV per atom
data_MnSbP
_chemical_formula_sum 'Mn2 Sb2 P2'
_space_group_name_H-M_alt 'I 4 m m'
_space_group_IT_number 107
_space_group_name_Hall 'I 4 -2'
_cell_length_a 2.956
_cell_length_b 2.956
_cell_length_c 12.010
_cell_angle_alpha 90.00
_cell_angle_beta 90.00
_cell_angle_gamma 90.00
loop_
_atom_site_label
_atom_site_type_symbol
_atom_site_fract_x
_atom_site_fract_y
_atom_site_fract_z
Mn1 Mn 0.000 0.000 0.000
Sb1 Sb 0.000 0.000 0.658
P1 P 0.000 0.000 0.408

---

Entry 8:
# GeS8I2 GGA-PBE optimized geometry
# **Fermi-level density of states**: 0.22 states/eV/cell
# **Formation energy without anion corrections**: 0.233 eV per atom
data_GeS8I2
_chemical_formula_sum 'Ge2 S16 I4'
_space_group_name_H-M_alt 'C 1 2/m 1'
_space_group_IT_number 12
_space_group_name_Hall '-C 2y'
_cell_length_a 15.710
_cell_length_b 6.177
_cell_length_c 11.389
_cell_angle_alpha 90.00
_cell_angle_beta 131.34
_cell_angle_gamma 90.00
loop_
_atom_site_label
_atom_site_type_symbol
_atom_site_fract_x
_atom_site_fract_y
_atom_site_fract_z
Ge1 Ge 0.000 0.000 0.000
S1 S 0.057 0.500 0.286
S2 S 0.146 0.261 0.266
S3 S 0.182 0.500 0.168
I1 I 0.238 0.000 0.134

---

Entry 9:
# Sc2GaHg GGA-PBE optimized geometry
# **Fermi-level density of states**: 15.34 states/eV/cell
# **Formation energy**: 0.0576 eV/atom
data_Sc2GaHg
_chemical_formula_sum 'Sc8 Ga4 Hg4'
_space_group_name_H-M_alt 'I -4 2 d'
_space_group_IT_number 122
_space_group_name_Hall 'I -4 2bw'
_cell_length_a 4.471
_cell_length_b 4.471
_cell_length_c 19.296
_cell_angle_alpha 90.00
_cell_angle_beta 90.00
_cell_angle_gamma 90.00
loop_
_atom_site_label
_atom_site_type_symbol
_atom_site_fract_x
_atom_site_fract_y
_atom_site_fract_z
Sc1 Sc 0.238 0.250 0.125
Ga1 Ga 0.000 0.000 0.000
Hg1 Hg 0.000 0.000 0.500

---

Entry 10:
# Y5AlCo2 GGA-PBE optimized geometry
# **Fermi-level density of states**: 40.94 states/eV/cell
# **Formation energy**: -0.2155 eV/atom
data_Y5AlCo2
_chemical_formula_sum 'Y20 Al4 Co8'
_space_group_name_H-M_alt 'I 4/m c m'
_space_group_IT_number 140
_space_group_name_Hall '-I 4 2c'
_cell_length_a 7.443
_cell_length_b 7.443
_cell_length_c 13.987
_cell_angle_alpha 90.00
_cell_angle_beta 90.00
_cell_angle_gamma 90.00
loop_
_atom_site_label
_atom_site_type_symbol
_atom_site_fract_x
_atom_site_fract_y
_atom_site_fract_z
Y1 Y 0.000 0.000 0.000
Y2 Y 0.171 0.329 0.137
Al1 Al 0.000 0.000 0.250
Co1 Co 0.112 0.388 0.500

---

Entry 11:
# GdThTcRh GGA-PBE optimized geometry
# **Fermi-level density of states**: 12.73 states/eV/cell
# **Formation energy**: -0.3817 eV/atom
data_GdThTcRh
_chemical_formula_sum 'Gd4 Th4 Tc4 Rh4'
_space_group_name_H-M_alt 'F -4 3 m'
_space_group_IT_number 216
_space_group_name_Hall 'F -4 2 3'
_cell_length_a 7.015
_cell_length_b 7.015
_cell_length_c 7.015
_cell_angle_alpha 90.00
_cell_angle_beta 90.00
_cell_angle_gamma 90.00
loop_
_atom_site_label
_atom_site_type_symbol
_atom_site_fract_x
_atom_site_fract_y
_atom_site_fract_z
Gd1 Gd 0.000 0.000 0.000
Th1 Th 0.000 0.000 0.500
Tc1 Tc 0.250 0.250 0.750
Rh1 Rh 0.250 0.250 0.250

---

Entry 12:
# RbLi2CuIr GGA-PBE optimized geometry
# **Fermi-level density of states**: 3.26 states/eV/cell
# **Formation energy**: 0.4648 eV/atom
data_RbLi2CuIr
_chemical_formula_sum 'Rb1 Li2 Cu1 Ir1'
_space_group_name_H-M_alt 'P 4/m m m'
_space_group_IT_number 123
_space_group_name_Hall '-P 4 2'
_cell_length_a 4.944
_cell_length_b 4.944
_cell_length_c 4.704
_cell_angle_alpha 90.00
_cell_angle_beta 90.00
_cell_angle_gamma 90.00
loop_
_atom_site_label
_atom_site_type_symbol
_atom_site_fract_x
_atom_site_fract_y
_atom_site_fract_z
Rb1 Rb 0.000 0.000 0.000
Li1 Li 0.000 0.500 0.500
Cu1 Cu 0.500 0.500 0.500
Ir1 Ir 0.500 0.500 0.000

---

Entry 13:
# PrBe2GaAu4 GGA-PBE optimized geometry
# **Fermi-level density of states**: 11.72 states/eV/cell
# **Formation energy**: -0.2702 eV/atom
data_PrBe2GaAu4
_chemical_formula_sum 'Pr3 Be6 Ga3 Au12'
_space_group_name_H-M_alt 'R -3 m'
_space_group_IT_number 166
_space_group_name_Hall '-R 3 2"'
_cell_length_a 4.1788
_cell_length_b 4.1788
_cell_length_c 29.1053
_cell_angle_alpha 90.00
_cell_angle_beta 90.00
_cell_angle_gamma 120.00
loop_
_atom_site_label
_atom_site_type_symbol
_atom_site_fract_x
_atom_site_fract_y
_atom_site_fract_z
Pr1 Pr 0.0000 0.0000 0.0000
Be1 Be 0.0000 0.0000 0.2461
Ga1 Ga 0.0000 0.0000 0.5000
Au1 Au 0.0000 0.0000 0.1241
Au2 Au 0.0000 0.0000 0.4010